No. 1
## TbGaNiAu (PBE-GGA)

Data for a geometry-optimized TbGaNiAu structure.

The symmetry is F-43m (216).

Unit cell a=4.6928 b=4.6928 c=4.6928 alpha=60.00 beta=60.00 gamma=60.00
With the nearest neighbours (Å) after each atom.
Positions (direct):
Tb (0.0000, 0.0000, 0.0000)  4 Au 2.87, 4 Ni 2.87
Ga (0.5000, 0.5000, 0.5000)  4 Ni 2.87, 4 Au 2.87
Ni (0.2500, 0.2500, 0.2500)  4 Tb 2.87, 4 Ga 2.87
Au (0.7500, 0.7500, 0.7500)  4 Tb 2.87, 4 Ga 2.87


No. 2
## Cs3Li2I4Br2 (PBE-GGA)

Data for a geometry-optimized Cs3Li2I4Br2 structure.

The symmetry is I4/mmm (139).

Unit cell a=16.2462 b=16.2462 c=16.2462 alpha=160.33 beta=160.33 gamma=27.96
With the nearest neighbours (Å) after each atom.
Positions (direct):
Cs (0.0000, 0.0000, 0.0000)  8 I 3.94
Cs (0.1870, 0.1870, 0.0000)  5 Br 3.64-3.94
Cs (0.8130, 0.8130, 0.0000)  5 Br 3.64-3.94
Li (0.3812, 0.3812, 0.0000)  1 Br 2.48
Li (0.6188, 0.6188, 0.0000)  1 Br 2.48
I (0.0887, 0.5887, 0.5000)  2 Li 2.93
I (0.4113, 0.9113, 0.5000)  2 Li 2.93
I (0.5887, 0.0887, 0.5000)  2 Li 2.93
I (0.9113, 0.4113, 0.5000)  2 Li 2.93
Br (0.3024, 0.3024, 0.0000)  1 Li 2.48
Br (0.6976, 0.6976, 0.0000)  1 Li 2.48


No. 3
## Nb3RuN (PBE-GGA)

Data for a geometry-optimized Nb3RuN structure.

The symmetry is Pm-3m (221).

Unit cell a=4.7683 b=4.7683 c=4.7683 alpha=90.00 beta=90.00 gamma=90.00
With the nearest neighbours (Å) after each atom.
Positions (direct):
Nb (0.0000, 0.0000, 0.5000)  2 Ru 2.38
Nb (0.0000, 0.5000, 0.0000)  2 Ru 2.38
Nb (0.5000, 0.0000, 0.0000)  2 Ru 2.38
Ru (0.0000, 0.0000, 0.0000)  6 Nb 2.38
N (0.5000, 0.5000, 0.5000)  12 Nb 3.37


No. 4
## Sc2AsI3 (PBE-GGA)

Data for a geometry-optimized Sc2AsI3 structure.

The symmetry is C2/m (12).

Unit cell a=10.6695 b=10.6695 c=14.2978 alpha=131.63 beta=131.63 gamma=21.98
With the nearest neighbours (Å) after each atom.
Positions (direct):
Sc (0.0828, 0.0828, 0.1919)  2 As 2.68-2.70, 2 I 2.94
Sc (0.3680, 0.3680, 0.0555)  2 As 2.64, 1 I 2.90
Sc (0.6320, 0.6320, 0.9445)  2 As 2.64, 1 I 2.90
Sc (0.9172, 0.9172, 0.8081)  2 As 2.68-2.70, 2 I 2.94
As (0.0895, 0.0895, 0.0109)  4 Sc 2.64-2.70
As (0.9105, 0.9105, 0.9891)  4 Sc 2.64-2.70
I (0.1774, 0.1774, 0.8347)  3 Sc 2.97-3.09
I (0.2799, 0.2799, 0.6771)  2 Sc 2.94
I (0.4605, 0.4605, 0.6918)  3 Sc 2.90-3.12
I (0.5395, 0.5395, 0.3082)  3 Sc 2.90-3.12
I (0.7201, 0.7201, 0.3229)  2 Sc 2.94
I (0.8226, 0.8226, 0.1653)  3 Sc 2.97-3.09


| no. | E_tot (eV per formula unit) |
| --- | --- |
| 1 | -18.55 |
| 2 | -30.56 |
| 3 | -37.77 |
| 4 | -28.65 |